Computed, not measured: an optimized crystal structure of MgCr2Mo at the PBE-GGA level of DFT.

abc: 3.108 4.257 4.501
angles: 90.00 90.00 90.00
Fractional coordinates of all 4 atoms:
1 Mg 0.000 0.000 0.000
2 Cr 0.000 0.500 0.500
3 Cr 0.500 0.500 0.000
4 Mo 0.500 0.000 0.500

## Properties
**DOS(E_F)**: 2.9 states/eV/cell
**Formation enthalpy at 0 K**: 0.4792 eV/atom

***

Computed, not measured: an optimized crystal structure of MgCrMo2 at the PBE-GGA level of DFT.

abc: 3.123 4.488 8.742
angles: 90.00 90.00 90.00
Fractional coordinates of all 8 atoms:
1 Mg 0.000 0.000 0.000
2 Mg 0.500 0.500 0.500
3 Cr 0.000 0.500 0.239
4 Cr 0.500 0.000 0.739
5 Mo 0.000 0.000 0.522
6 Mo 0.000 0.500 0.773
7 Mo 0.500 0.000 0.273
8 Mo 0.500 0.500 0.022

## Properties
**DOS(E_F)**: 6.4 states/eV/cell
**Formation enthalpy at 0 K**: 0.3489 eV/atom